The following is a PBE calculation of a relaxed LiPPdPt crystal, from Alexandria.

Cell: 4.235 4.235 4.235 Å, 60.00 60.00 60.00°
Element x y z (fractional)
Li 0.000 0.000 0.000
P 0.500 0.500 0.500
Pd 0.250 0.250 0.250
Pt 0.750 0.750 0.750

## Properties
V, Å³/cell: 54
D(E_F), states/eV per atom: 0.881
Energy, hartree per atom: -0.187